[1]
KBaS14 | GGA-PBE | relaxed

crystal system	orthorhombic

Unit cell a=12.114 b=12.114 c=12.114 alpha=143.08 beta=96.66 gamma=94.84
Fractional coordinates of all 32 atoms:
1 K 0.186 0.750 0.436
2 K 0.814 0.250 0.564
3 Ba 0.500 0.000 0.000
4 Ba 0.500 0.500 0.500
5 S 0.210 0.309 0.901
6 S 0.790 0.691 0.099
7 S 0.909 0.809 0.099
8 S 0.091 0.191 0.901
9 S 0.457 0.846 0.611
10 S 0.543 0.154 0.389
11 S 0.736 0.346 0.389
12 S 0.264 0.654 0.611
13 S 0.725 0.897 0.828
14 S 0.275 0.103 0.172
15 S 0.569 0.397 0.172
16 S 0.431 0.603 0.828
17 S 0.172 0.624 0.071
18 S 0.828 0.899 0.451
19 S 0.053 0.124 0.451
20 S 0.947 0.399 0.071
21 S 0.828 0.376 0.929
22 S 0.172 0.101 0.549
23 S 0.947 0.876 0.549
24 S 0.053 0.601 0.929
25 S 0.800 0.144 0.138
26 S 0.200 0.337 0.344
27 S 0.506 0.644 0.344
28 S 0.494 0.837 0.138
29 S 0.200 0.856 0.862
30 S 0.800 0.663 0.656
31 S 0.494 0.356 0.656
32 S 0.506 0.163 0.862

***

[2]
K2Ba2S | GGA-PBE | relaxed

crystal system	tetragonal
distance to the lowest polymorph of the same formula	309.1	meV/atom

Unit cell a=4.514 b=4.514 c=12.089 alpha=79.24 beta=79.24 gamma=90.00
Fractional coordinates of all 5 atoms:
1 S 0.000 0.000 0.000
2 K 0.750 0.250 0.500
3 K 0.250 0.750 0.500
4 Ba 0.424 0.424 0.152
5 Ba 0.576 0.576 0.848

***

[3]
KBaS2 | GGA-PBE | relaxed

crystal system	cubic

Unit cell a=5.429 b=5.429 c=5.429 alpha=60.00 beta=60.00 gamma=60.00
Fractional coordinates of all 4 atoms:
1 S 0.250 0.250 0.250
2 S 0.750 0.750 0.750
3 K 0.000 0.000 0.000
4 Ba 0.500 0.500 0.500

***

[4]
KBaS3 | GGA-PBE | relaxed

crystal system	cubic
distance to the lowest polymorph of the same formula	0.0	meV/atom

Unit cell a=5.984 b=5.984 c=5.984 alpha=90.00 beta=90.00 gamma=90.00
Fractional coordinates of all 5 atoms:
1 S 0.000 0.500 0.000
2 S 0.000 0.000 0.500
3 S 0.500 0.000 0.000
4 K 0.500 0.500 0.500
5 Ba 0.000 0.000 0.000

***

[5]
KBaS2 | GGA-PBE | relaxed

crystal system	tetragonal

Unit cell a=4.058 b=4.058 c=7.063 alpha=90.00 beta=90.00 gamma=90.00
Fractional coordinates of all 4 atoms:
1 S 0.000 0.000 0.720
2 S 0.000 0.000 0.280
3 K 0.500 0.500 0.000
4 Ba 0.500 0.500 0.500

***

[6]
KBaSb2S | GGA-PBE | relaxed

crystal system	tetragonal

Unit cell a=5.720 b=6.886 c=5.720 alpha=90.00 beta=90.00 gamma=90.00
Fractional coordinates of all 5 atoms:
1 S 0.500 0.500 0.500
2 Sb 0.000 0.000 0.500
3 Sb 0.500 0.000 0.000
4 K 0.000 0.000 0.000
5 Ba 0.000 0.500 0.000

***

[7]
KBaSbS4 | GGA-PBE | relaxed

crystal system	monoclinic

Unit cell a=7.387 b=7.078 c=9.108 alpha=90.00 beta=105.64 gamma=90.00
Fractional coordinates of all 14 atoms:
1 K 0.746 0.750 0.943
2 K 0.254 0.250 0.057
3 Ba 0.766 0.750 0.444
4 Ba 0.234 0.250 0.556
5 Sb 0.219 0.750 0.302
6 Sb 0.781 0.250 0.698
7 S 0.989 0.510 0.743
8 S 0.011 0.010 0.257
9 S 0.011 0.490 0.257
10 S 0.989 0.990 0.743
11 S 0.419 0.750 0.141
12 S 0.581 0.250 0.859
13 S 0.387 0.750 0.563
14 S 0.613 0.250 0.437

***

[8]
K2BaSbS4 | GGA-PBE | relaxed

crystal system	orthorhombic

Unit cell a=8.758 b=8.758 c=9.035 alpha=121.05 beta=121.05 gamma=90.40
Fractional coordinates of all 16 atoms:
1 K 0.500 0.000 0.000
2 K 0.500 0.000 0.500
3 K 0.000 0.000 0.500
4 K 0.500 0.500 0.000
5 Ba 0.000 0.500 0.000
6 Ba 0.000 0.500 0.500
7 Sb 0.500 0.500 0.500
8 Sb 0.000 0.000 0.000
9 S 0.211 0.786 0.999
10 S 0.714 0.289 0.501
11 S 0.286 0.711 0.499
12 S 0.789 0.214 0.001
13 S 0.750 0.751 0.953
14 S 0.750 0.751 0.547
15 S 0.250 0.249 0.453
16 S 0.250 0.249 0.047

***

[9]
KBa2SbS4 | GGA-PBE | relaxed

crystal system	orthorhombic

Unit cell a=8.733 b=8.733 c=8.840 alpha=120.41 beta=120.41 gamma=89.30
Fractional coordinates of all 16 atoms:
1 K 0.000 0.500 0.000
2 K 0.000 0.500 0.500
3 Ba 0.500 0.000 0.000
4 Ba 0.500 0.000 0.500
5 Ba 0.000 0.000 0.500
6 Ba 0.500 0.500 0.000
7 Sb 0.500 0.500 0.500
8 Sb 0.000 0.000 0.000
9 S 0.233 0.772 0.003
10 S 0.728 0.267 0.497
11 S 0.272 0.733 0.503
12 S 0.767 0.228 0.997
13 S 0.751 0.749 0.975
14 S 0.751 0.749 0.525
15 S 0.249 0.251 0.475
16 S 0.249 0.251 0.025

***

[10]
KBaSeS | GGA-PBE | relaxed

crystal system	cubic

Unit cell a=5.538 b=5.538 c=5.538 alpha=60.00 beta=60.00 gamma=60.00
Fractional coordinates of all 4 atoms:
1 S 0.500 0.500 0.500
2 K 0.750 0.750 0.750
3 Ba 0.250 0.250 0.250
4 Se 0.000 0.000 0.000

***

[11]
KBaSnS3 | GGA-PBE | relaxed

crystal system	monoclinic

Unit cell a=6.713 b=6.713 c=9.499 alpha=73.17 beta=73.17 gamma=69.32
Fractional coordinates of all 12 atoms:
1 K 0.270 0.730 0.500
2 K 0.730 0.270 0.500
3 Ba 0.679 0.679 0.848
4 Ba 0.321 0.321 0.152
5 Sn 0.026 0.026 0.841
6 Sn 0.974 0.974 0.159
7 S 0.200 0.200 0.601
8 S 0.184 0.636 0.841
9 S 0.636 0.184 0.841
10 S 0.364 0.816 0.159
11 S 0.816 0.364 0.159
12 S 0.800 0.800 0.399

***

[12]
K2BaSnS4 | GGA-PBE | relaxed

crystal system	orthorhombic

Unit cell a=8.728 b=8.728 c=8.965 alpha=120.90 beta=120.90 gamma=90.98
Fractional coordinates of all 16 atoms:
1 K 0.500 0.000 0.000
2 K 0.500 0.000 0.500
3 K 0.000 0.000 0.500
4 K 0.500 0.500 0.000
5 Ba 0.000 0.500 0.000
6 Ba 0.000 0.500 0.500
7 Sn 0.500 0.500 0.500
8 Sn 0.000 0.000 0.000
9 S 0.205 0.796 0.001
10 S 0.704 0.295 0.499
11 S 0.296 0.705 0.501
12 S 0.795 0.204 0.999
13 S 0.749 0.751 0.956
14 S 0.749 0.751 0.544
15 S 0.251 0.249 0.456
16 S 0.251 0.249 0.044

***

[13]
KBa2SrS | GGA-PBE | relaxed

crystal system	tetragonal

Unit cell a=6.502 b=6.502 c=6.006 alpha=90.00 beta=90.00 gamma=90.00
Fractional coordinates of all 5 atoms:
1 S 0.000 0.000 0.000
2 Sr 0.000 0.000 0.500
3 K 0.500 0.500 0.500
4 Ba 0.000 0.500 0.000
5 Ba 0.500 0.000 0.000

***

[14]
K2BaTa2S7 | GGA-PBE | relaxed

crystal system	trigonal

Unit cell a=7.801 b=7.801 c=10.779 alpha=68.79 beta=68.79 gamma=60.00
Fractional coordinates of all 12 atoms:
1 K 0.788 0.788 0.637
2 K 0.212 0.212 0.363
3 Ba 0.500 0.500 0.500
4 Ta 0.921 0.921 0.238
5 Ta 0.079 0.079 0.762
6 S 0.191 0.836 0.318
7 S 0.656 0.191 0.318
8 S 0.836 0.656 0.318
9 S 0.344 0.164 0.682
10 S 0.809 0.344 0.682
11 S 0.000 0.000 0.000
12 S 0.164 0.809 0.682

***

[15]
KBa2TeS4 | GGA-PBE | relaxed

crystal system	monoclinic

Unit cell a=8.608 b=8.608 c=8.713 alpha=116.93 beta=116.93 gamma=89.60
Fractional coordinates of all 16 atoms:
1 K 0.000 0.500 0.000
2 K 0.000 0.500 0.500
3 Ba 0.500 0.000 0.000
4 Ba 0.500 0.000 0.500
5 Ba 0.000 0.000 0.500
6 Ba 0.500 0.500 0.000
7 Te 0.500 0.500 0.500
8 Te 0.000 0.000 0.000
9 S 0.237 0.783 0.021
10 S 0.717 0.263 0.479
11 S 0.283 0.737 0.521
12 S 0.763 0.217 0.979
13 S 0.796 0.794 0.034
14 S 0.706 0.704 0.466
15 S 0.294 0.296 0.534
16 S 0.204 0.206 0.966

***

[16]
K2BaTeS | GGA-PBE | relaxed

crystal system	tetragonal

Unit cell a=5.807 b=5.807 c=6.093 alpha=90.00 beta=90.00 gamma=90.00
Fractional coordinates of all 5 atoms:
1 S 0.000 0.000 0.000
2 K 0.000 0.500 0.000
3 K 0.500 0.000 0.000
4 Te 0.500 0.500 0.500
5 Ba 0.000 0.000 0.500

***

[17]
KBa2ThS4 | GGA-PBE | relaxed

crystal system	monoclinic

Unit cell a=4.353 b=7.582 c=7.654 alpha=70.77 beta=90.00 gamma=90.00
Fractional coordinates of all 8 atoms:
1 K 0.500 0.500 0.000
2 Ba 0.000 0.000 0.000
3 Ba 0.500 0.000 0.500
4 Th 0.000 0.500 0.500
5 S 0.000 0.727 0.724
6 S 0.000 0.273 0.276
7 S 0.500 0.722 0.277
8 S 0.500 0.278 0.723

***

[18]
K2BaTiS4 | GGA-PBE | relaxed

crystal system	tetragonal

Unit cell a=8.025 b=6.902 c=6.902 alpha=69.39 beta=54.45 gamma=54.45
Fractional coordinates of all 8 atoms:
1 K 0.500 0.750 0.250
2 K 0.500 0.250 0.750
3 Ba 0.000 0.000 0.000
4 Ti 0.000 0.500 0.500
5 S 0.674 0.492 0.833
6 S 0.326 0.167 0.508
7 S 0.000 0.508 0.167
8 S 0.000 0.833 0.492

***

[19]
KBaTlS3 | GGA-PBE | relaxed

crystal system	monoclinic

Unit cell a=5.392 b=8.794 c=8.697 alpha=104.52 beta=90.00 gamma=107.85
Fractional coordinates of all 12 atoms:
1 K 0.353 0.707 0.928
2 K 0.647 0.293 0.072
3 Ba 0.649 0.297 0.581
4 Ba 0.351 0.703 0.419
5 Tl 0.002 0.004 0.254
6 Tl 0.998 0.996 0.746
7 S 0.848 0.696 0.185
8 S 0.843 0.685 0.652
9 S 0.503 0.006 0.263
10 S 0.157 0.315 0.348
11 S 0.497 0.994 0.737
12 S 0.152 0.304 0.815

***

[20]
KBaTl2S4 | GGA-PBE | relaxed

crystal system	orthorhombic

Unit cell a=7.522 b=6.791 c=6.791 alpha=67.33 beta=56.37 gamma=56.37
Fractional coordinates of all 8 atoms:
1 K 0.500 0.500 0.500
2 Ba 0.000 0.000 0.000
3 Tl 0.250 0.250 0.250
4 Tl 0.750 0.750 0.750
5 S 0.468 0.032 0.516
6 S 0.015 0.968 0.484
7 S 0.985 0.516 0.032
8 S 0.532 0.484 0.968

***

no.,formation energy (no corrections) (meV/atom)
1,-79.0
2,-255.6
3,-1211.2
4,-348.8
5,-1223.8
6,719.3
7,-1025.7
8,-1004.3
9,-1272.4
10,-1229.2
11,-1072.2
12,-1081.3
13,-687.4
14,-1210.4
15,-1162.0
16,-1235.5
17,-1827.7
18,-1455.7
19,-979.8
20,-746.4